1.
BaTbCd17 (PBE, optimized geometry); space group = R3m; formation energy = -0.147 eV per atom; D(E_F) = 7.32 states/eV/cell
1.0
7.701 0.061 0.977
0.868 7.653 0.977
0.068 0.061 7.763
Cd Tb Ba
17 1 1
direct
0.349 0.349 0.870
0.193 0.624 0.624
0.295 0.700 0.004
0.004 0.700 0.295
0.984 0.518 0.984
0.107 0.107 0.107
0.295 0.004 0.700
0.909 0.909 0.909
0.984 0.984 0.518
0.518 0.984 0.984
0.349 0.870 0.349
0.870 0.349 0.349
0.700 0.004 0.295
0.624 0.193 0.624
0.700 0.295 0.004
0.004 0.295 0.700
0.624 0.624 0.193
0.328 0.328 0.328
0.665 0.665 0.665

=====

2.
BaTb2Cd (PBE, optimized geometry); space group = P4/mmm; formation energy = -0.006 eV per atom; D(E_F) = 5.20 states/eV/cell; energy above the lowest structure with this stoichiometry = 0.00 eV per formula unit
1.0
-2.294 2.268 2.062
-2.987 -2.233 -0.867
1.731 -5.348 7.807
Tb Ba Cd
2 1 1
direct
0.000 0.000 0.184
0.000 0.000 0.816
0.500 0.500 0.500
0.500 0.500 0.000

=====

3.
BaTbCd4 (PBE, optimized geometry); space group = F-43m; formation energy = -0.209 eV per atom; D(E_F) = 6.03 states/eV/cell; energy above the lowest structure with this stoichiometry = 0.71 eV per formula unit
1.0
6.147 0.000 0.000
3.074 5.324 0.000
3.074 1.775 5.019
Tb Cd Ba
1 4 1
direct
0.000 0.000 0.000
0.122 0.626 0.626
0.626 0.626 0.626
0.626 0.122 0.626
0.626 0.626 0.122
0.250 0.250 0.250

=====

4.
BaCdTc2 (PBE, optimized geometry); space group = Cmmm; formation energy = 1.111 eV per atom; D(E_F) = 5.70 states/eV/cell
1.0
-1.438 -2.512 0.070
2.410 -1.384 -0.811
2.538 -1.187 9.572
Ba Tc Cd
1 2 1
direct
0.500 0.500 0.250
0.000 0.000 0.966
0.000 0.000 0.534
0.500 0.500 0.750

=====

5.
BaCd2Tc (PBE, optimized geometry); space group = Fm-3m; formation energy = 0.607 eV per atom; D(E_F) = 4.72 states/eV/cell; energy above the lowest structure with this stoichiometry = 0.86 eV per formula unit
1.0
0.000 3.779 3.779
3.779 0.000 3.779
3.779 3.779 0.000
Tc Ba Cd
1 1 2
direct
0.000 0.000 0.000
0.500 0.500 0.500
0.250 0.250 0.250
0.750 0.750 0.750

=====

6.
BaCd2Tc (PBE, optimized geometry); space group = C2/m; formation energy = 0.653 eV per atom; D(E_F) = 2.62 states/eV/cell; energy above the lowest structure with this stoichiometry = 1.05 eV per formula unit
1.0
-5.255 -1.708 -1.124
1.087 0.254 5.527
-1.042 3.151 0.064
Cd Tc Ba
2 1 1
direct
0.000 0.000 0.000
0.500 0.500 0.000
0.500 0.000 0.500
0.000 0.500 0.500